<A>
A geometry-optimized BaPt3Br structure. Source: Alexandria, functional GGA-PBE.

POSCAR file:
```
BaPt3Br
1.0
5.457 0.000 0.000
0.000 5.457 0.000
0.000 0.000 5.457
Ba Pt Br
1 3 1
Direct
0.000 0.000 0.000
0.000 0.000 0.500
0.000 0.500 0.000
0.500 0.000 0.000
0.500 0.500 0.500
```

Space-group type ... Pm-3m, No. 221

***

<B>
A geometry-optimized BaPt3Br structure. Source: Alexandria, functional GGA-PBE.

POSCAR file:
```
BaPt3Br
1.0
4.970 0.000 0.000
0.000 4.970 0.000
0.000 0.000 4.970
Ba Pt Br
1 3 1
Direct
0.000 0.000 0.000
0.000 0.500 0.500
0.500 0.000 0.500
0.500 0.500 0.000
0.500 0.500 0.500
```

Space-group type ... Pm-3m, No. 221

***

Least stable structure among those shown: <A>.